Record 1
Below is OsRh at its PBEsol-relaxed geometry, with properties calculated at the SCAN level.

Values from the calculation:
- total DFT energy (no corrections) (eV/atom) = -52.608
- energy of formation from the pure elements (eV/f.u.) = 0.43

extended XYZ file:
```
4
Lattice="1.324 -5.020 0.000 1.324 5.020 0.000 0.000 0.000 4.145" Properties=species:S:1:pos:R:3 pbc="T T T"
Os 1.324 3.259 3.109
Os 1.324 -3.259 1.036
Rh 1.324 0.709 3.109
Rh 1.324 -0.709 1.036
```

=====

Record 2
Below is Os3Rh5 at its PBEsol-relaxed geometry, with properties calculated at the SCAN level.

Values from the calculation:
- total DFT energy (no corrections) (eV/atom) = -47.967
- energy of formation from the pure elements (eV/f.u.) = 0.76

extended XYZ file:
```
8
Lattice="3.777 -3.826 0.000 3.777 3.826 0.000 0.000 0.000 3.770" Properties=species:S:1:pos:R:3 pbc="T T T"
Os 0.000 0.000 0.000
Os 1.874 0.000 1.885
Os 5.680 0.000 1.885
Rh 1.889 1.913 0.000
Rh 3.777 1.923 1.885
Rh 1.889 -1.913 0.000
Rh 3.777 0.000 0.000
Rh 3.777 -1.923 1.885
```

=====

Record 3
Below is OsRh5 at its PBEsol-relaxed geometry, with properties calculated at the SCAN level.

Values from the calculation:
- total DFT energy (no corrections) (eV/atom) = -40.079
- energy above the most stable polymorph in this dataset (meV/atom) = 6
- energy of formation from the pure elements (eV/f.u.) = 0.26

extended XYZ file:
```
6
Lattice="4.917 -1.345 0.000 4.917 1.345 0.000 -1.585 0.000 6.139" Properties=species:S:1:pos:R:3 pbc="T T T"
Os 0.000 0.000 0.000
Rh -0.419 0.000 3.756
Rh 2.250 0.000 4.131
Rh 3.417 0.000 1.700
Rh 6.023 0.000 2.028
Rh 5.589 0.000 5.808
```

=====

Record 4
Below is Os2Rh at its PBEsol-relaxed geometry, with properties calculated at the SCAN level.

Values from the calculation:
- total DFT energy (no corrections) (eV/atom) = -59.080
- energy above the most stable polymorph in this dataset (meV/atom) = 76
- energy of formation from the pure elements (eV/f.u.) = 0.29

extended XYZ file:
```
3
Lattice="-1.346 1.346 5.720 1.346 -1.346 5.720 1.346 1.346 -5.720" Properties=species:S:1:pos:R:3 pbc="T T T"
Os 0.000 0.000 1.938
Os 0.000 0.000 9.503
Rh 0.000 0.000 5.720
```